(1)
A plane-wave DFT calculation with PBE-GGA was carried out for a relaxed CrSbMoI2 crystal.

Cell lengths 5.4748, 5.4748, 5.2497 Å; angles 90.00, 90.00, 90.00 degrees
Last column: nearest neighbours and their distance in Å.
Space group P4/mmm (No. 123)
Inequivalent atoms, fractional coordinates:
Cr 0.0000 0.0000 0.0000 x1  2 Sb 2.62, 4 I 2.74
Sb 0.0000 0.0000 0.5000 x1  2 Cr 2.62
Mo 0.5000 0.5000 0.5000 x1  8 I 3.79, 4 Sb 3.87
I 0.0000 0.5000 0.0000 x2  2 Cr 2.74

- calculated density (g cm⁻³) = 5.52
- energy relative to the lowest polymorph listed for this composition (eV/atom) = 0.1477
- electronic total energy (eV/atom) = -4.516
- total magnetization (μB per formula unit) = 7.30

=====

(2)
A plane-wave DFT calculation with PBE-GGA was carried out for a relaxed CrSbMo2I crystal.

Cell lengths 4.7225, 4.7225, 4.8069 Å; angles 90.00, 90.00, 90.00 degrees
Last column: nearest neighbours and their distance in Å.
Space group P4/mmm (No. 123)
Inequivalent atoms, fractional coordinates:
Cr 0.0000 0.0000 0.0000 x1  4 Mo 2.36, 2 Sb 2.40
Sb 0.0000 0.0000 0.5000 x1  2 Cr 2.40
Mo 0.0000 0.5000 0.0000 x2  2 Cr 2.36
I 0.5000 0.5000 0.5000 x1  4 Sb 3.34, 8 Mo 3.37

- calculated density (g cm⁻³) = 7.63
- electronic total energy (eV/atom) = -6.101
- total magnetization (μB per formula unit) = 0.01

=====

(3)
A plane-wave DFT calculation with PBE-GGA was carried out for a relaxed CrSb2MoI crystal.

Cell lengths 5.0342, 5.0342, 5.6687 Å; angles 90.00, 90.00, 90.00 degrees
Last column: nearest neighbours and their distance in Å.
Space group P4/mmm (No. 123)
Inequivalent atoms, fractional coordinates:
Cr 0.0000 0.0000 0.0000 x1  4 Sb 2.52
Sb 0.0000 0.5000 0.0000 x2  2 Cr 2.52
Mo 0.5000 0.5000 0.5000 x1  4 I 3.56, 8 Sb 3.79
I 0.0000 0.0000 0.5000 x1  2 Cr 2.83

- calculated density (g cm⁻³) = 5.99
- energy relative to the lowest polymorph listed for this composition (eV/atom) = 0.1980
- electronic total energy (eV/atom) = -4.986
- total magnetization (μB per formula unit) = 6.56

=====

(4)
A plane-wave DFT calculation with PBE-GGA was carried out for a relaxed CrSb2MoI crystal.

Cell lengths 5.1730, 5.1730, 5.9035 Å; angles 90.00, 90.00, 90.00 degrees
Last column: nearest neighbours and their distance in Å.
Space group P4/mmm (No. 123)
Inequivalent atoms, fractional coordinates:
Cr 0.0000 0.0000 0.0000 x1  4 I 3.66, 8 Sb 3.92
Sb 0.0000 0.5000 0.5000 x2  2 Mo 2.59
Mo 0.5000 0.5000 0.5000 x1  4 Sb 2.59
I 0.5000 0.5000 0.0000 x1  2 Mo 2.95

- calculated density (g cm⁻³) = 5.45
- energy relative to the lowest polymorph listed for this composition (eV/atom) = 0.0000
- electronic total energy (eV/atom) = -5.184
- total magnetization (μB per formula unit) = 5.87

=====

(5)
A plane-wave DFT calculation with PBE-GGA was carried out for a relaxed CrSiMo2I crystal.

Cell lengths 4.6585, 4.6585, 4.3808 Å; angles 90.00, 90.00, 90.00 degrees
Last column: nearest neighbours and their distance in Å.
Space group P4/mmm (No. 123)
Inequivalent atoms, fractional coordinates:
Cr 0.0000 0.0000 0.0000 x1  2 Si 2.19, 4 Mo 2.33
Si 0.0000 0.0000 0.5000 x1  2 Cr 2.19
Mo 0.0000 0.5000 0.0000 x2  2 Cr 2.33
I 0.5000 0.5000 0.5000 x1  8 Mo 3.20, 4 Si 3.29

- calculated density (g cm⁻³) = 6.97
- electronic total energy (eV/atom) = -6.499
- total magnetization (μB per formula unit) = 0.15

=====

(6)
A plane-wave DFT calculation with PBE-GGA was carried out for a relaxed CrSiMoI2 crystal.

Cell lengths 5.2665, 5.2665, 4.5734 Å; angles 90.00, 90.00, 90.00 degrees
Last column: nearest neighbours and their distance in Å.
Space group P4/mmm (No. 123)
Inequivalent atoms, fractional coordinates:
Cr 0.0000 0.0000 0.0000 x1  2 Mo 2.29
Si 0.5000 0.5000 0.5000 x1  8 I 3.49, 4 Mo 3.72
Mo 0.0000 0.0000 0.5000 x1  2 Cr 2.29
I 0.0000 0.5000 0.0000 x2  2 Cr 2.63

- calculated density (g cm⁻³) = 5.63
- electronic total energy (eV/atom) = -4.401
- total magnetization (μB per formula unit) = 2.95